# Ba2TiCoO6

An optimized crystal structure of Ba2TiCoO6 (PBE with a Hubbard U, Alexandria via LeMat-Bulk).

```
Ba2TiCoO6
1.0
-3.541 -0.684 4.469
-5.030 -2.679 -0.706
1.214 -9.287 3.231
Ba Ti Co O
4 2 2 12
direct
0.872 0.872 0.385
0.128 0.128 0.615
0.714 0.714 0.858
0.286 0.286 0.142
0.595 0.595 0.215
0.405 0.405 0.785
0.000 0.000 0.000
0.500 0.500 0.500
0.837 0.394 0.376
0.394 0.837 0.376
0.394 0.394 0.376
0.163 0.606 0.624
0.606 0.163 0.624
0.606 0.606 0.624
0.710 0.205 0.880
0.205 0.710 0.880
0.205 0.205 0.880
0.290 0.795 0.120
0.795 0.290 0.120
0.795 0.795 0.120
```

Results
As for the symmetry: R-3m, No. 166. Its crystal system is trigonal. The uncorrected energy is -0.2566 hartree per atom.